1.
# ScAl2Sn2, single point on PBEsol structure, DFT SCAN
data_ScAl2Sn2
_chemical_formula_sum 'Sc1 Al2 Sn2'
_cell_length_a 5.038
_cell_length_b 5.038
_cell_length_c 5.635
_cell_angle_alpha 90.00
_cell_angle_beta 90.00
_cell_angle_gamma 90.00
_symmetry_space_group_name_H-M 'P 4/m m m'
_symmetry_Int_Tables_number 123
_symmetry_space_group_name_Hall '-P 4 2'
loop_
_atom_site_label
_atom_site_type_symbol
_atom_site_fract_x
_atom_site_fract_y
_atom_site_fract_z
Sc1 Sc 0.000 0.000 0.000
Al1 Al 0.000 0.500 0.500
Sn1 Sn 0.500 0.500 0.000
Sn2 Sn 0.500 0.500 0.500
# **ΔE_f**: 387 kJ/mol of formula units
# **Uncorrected energy**: -19.5138 eV per atom
# **Magnetic moment**: 0.000 μB/atom


2.
# Sr3ScAl, single point on PBEsol structure, DFT SCAN
data_Sr3ScAl
_chemical_formula_sum 'Sr3 Sc1 Al1'
_cell_length_a 6.118
_cell_length_b 6.118
_cell_length_c 6.118
_cell_angle_alpha 90.00
_cell_angle_beta 90.00
_cell_angle_gamma 90.00
_symmetry_space_group_name_H-M 'P m -3 m'
_symmetry_Int_Tables_number 221
_symmetry_space_group_name_Hall '-P 4 2 3'
loop_
_atom_site_label
_atom_site_type_symbol
_atom_site_fract_x
_atom_site_fract_y
_atom_site_fract_z
Sr1 Sr 0.000 0.000 0.500
Sc1 Sc 0.500 0.500 0.500
Al1 Al 0.000 0.000 0.000
# **ΔE_f**: 236 kJ/mol of formula units
# **Uncorrected energy**: -17.2743 eV per atom
# **Magnetic moment**: 0.387 μB/atom


3.
# SrScAl3, single point on PBEsol structure, DFT SCAN
data_SrScAl3
_chemical_formula_sum 'Sr1 Sc1 Al3'
_cell_length_a 5.331
_cell_length_b 5.331
_cell_length_c 5.331
_cell_angle_alpha 90.00
_cell_angle_beta 90.00
_cell_angle_gamma 90.00
_symmetry_space_group_name_H-M 'P m -3 m'
_symmetry_Int_Tables_number 221
_symmetry_space_group_name_Hall '-P 4 2 3'
loop_
_atom_site_label
_atom_site_type_symbol
_atom_site_fract_x
_atom_site_fract_y
_atom_site_fract_z
Sr1 Sr 0.000 0.000 0.000
Sc1 Sc 0.500 0.500 0.500
Al1 Al 0.000 0.000 0.500
# **ΔE_f**: 675 kJ/mol of formula units
# **Uncorrected energy**: -10.5554 eV per atom
# **Magnetic moment**: 0.000 μB/atom